This record from the Alexandria database describes a relaxed structure of PmErSi2Pt5. The functional is PBE-GGA.

## Properties
Space-group type: No. 123
DFT total energy, eV per atom: -6.65
DOS at the Fermi energy, states/eV per cell: 3.3

```
9
Lattice="4.2237 0.0000 0.0000 0.0000 4.2237 0.0000 0.0000 0.0000 8.9620" Properties=species:S:1:pos:R:3 pbc="T T T"
Pm 0.0000 0.0000 0.0000
Er 0.0000 0.0000 4.4810
Si 2.1119 2.1119 3.3089
Si 2.1119 2.1119 5.6530
Pt 0.0000 2.1119 2.1564
Pt 0.0000 2.1119 6.8056
Pt 2.1119 0.0000 2.1564
Pt 2.1119 0.0000 6.8056
Pt 2.1119 2.1119 0.0000
```